Record 1
# InIr2Se

Crystalline InIr2Se at its relaxed geometry (PBE, Alexandria).

The structure belongs to space group Cm (No. 8); the cell edges are 9.862, 2.989 and 4.933 Å and the angles 90.00°, 103.04° and 90.00°. The inequivalent atoms are In at (0.000, 0.000, 0.000), Ir at (0.005, 0.500, 0.501), Ir at (0.261, 0.500, 0.248) and Se at (0.218, 0.000, 0.624).

Its total DFT energy (no corrections) is -0.212 hartree per atom. The value obtained for the formation energy from raw total energies is 0.23 eV per atom.

***

Record 2
# ScIr

Crystalline ScIr at its relaxed geometry (PBE, Alexandria).

The structure belongs to space group I-43m (No. 217); the cell edges are 7.921, 7.921 and 7.921 Å and the angles 90.00°, 90.00° and 90.00°. The inequivalent atoms are Sc at (0.198, 0.198, 0.198) and Ir at (0.123, 0.123, 0.877).

Its total DFT energy (no corrections) is -0.272 hartree per atom.